Entry 1:
The following is a GGA-PBE calculation of CaHoCdPd after structural relaxation, from Alexandria.

The structure belongs to space group F-43m (No. 216); the cell edges are 7.254, 7.254 and 7.254 Å and the angles 90.00°, 90.00° and 90.00°. The distinct sites, in fractional coordinates, are Ca at (0.000, 0.000, 0.000), Ho at (0.000, 0.000, 0.500), Cd at (0.250, 0.250, 0.750) and Pd at (0.250, 0.250, 0.250).

The energy of formation is -0.50 eV per atom. The density is 7.38 g/cm³. As for the total magnetization: 0.00 μB per cell. The calculation puts the calculated total energy at -3.668 eV/atom.



Entry 2:
The following is a GGA-PBE calculation of Y2Hg2Pd after structural relaxation, from Alexandria.

The structure belongs to space group P4/mbm (No. 127); the cell edges are 7.623, 7.623 and 4.558 Å and the angles 90.00°, 90.00° and 90.00°. The distinct sites, in fractional coordinates, are Y at (0.166, 0.334, 0.000), Hg at (0.141, 0.641, 0.500) and Pd at (0.000, 0.000, 0.000).

The energy of formation is -0.28 eV per atom. The density is 8.59 g/cm³. As for the total magnetization: 0.00 μB per cell. The calculation puts the calculated total energy at -4.024 eV/atom.



Entry 3:
The following is a GGA-PBE calculation of CrCoIr2 after structural relaxation, from Alexandria.

The structure belongs to space group Fm-3m (No. 225); the cell edges are 5.920, 5.920 and 5.920 Å and the angles 90.00°, 90.00° and 90.00°. The distinct sites, in fractional coordinates, are Cr at (0.000, 0.000, 0.000), Co at (0.000, 0.000, 0.500) and Ir at (0.250, 0.250, 0.250).

The energy of formation is 0.19 eV per atom. The density is 15.86 g/cm³. As for the total magnetization: 0.00 μB per cell. The calculation puts the calculated total energy at -8.427 eV/atom.



Entry 4:
The following is a GGA-PBE calculation of MnCuS2 after structural relaxation, from Alexandria.

The structure belongs to space group Cmcm (No. 63); the cell edges are 2.903, 20.771 and 3.759 Å and the angles 90.00°, 90.00° and 90.00°. The distinct sites, in fractional coordinates, are Mn at (0.000, 0.181, 0.250), Cu at (0.000, 0.462, 0.250), S at (0.000, 0.292, 0.250) and S at (0.000, 0.406, 0.750).

The formation energy from raw total energies comes out at -0.07 eV/atom. The density is 5.35 g/cm³. As for the total magnetization: 0.00 μB per cell. The calculation puts the calculated total energy at -5.452 eV/atom.



Entry 5:
The following is a GGA-PBE calculation of PrHPb3 after structural relaxation, from Alexandria.

The structure belongs to space group Pm-3m (No. 221); the cell edges are 4.994, 4.994 and 4.994 Å and the angles 90.00°, 90.00° and 90.00°. The distinct sites, in fractional coordinates, are Pr at (0.000, 0.000, 0.000), H at (0.500, 0.500, 0.500) and Pb at (0.000, 0.500, 0.500).

The density is 10.18 g/cm³. As for the total magnetization: 0.00 μB per cell. The calculation puts the calculated total energy at -4.008 eV/atom.



Entry 6:
The following is a GGA-PBE calculation of AlTe2AsI after structural relaxation, from Alexandria.

The structure belongs to space group P4/mmm (No. 123); the cell edges are 5.525, 5.525 and 5.696 Å and the angles 90.00°, 90.00° and 90.00°. The distinct sites, in fractional coordinates, are Al at (0.000, 0.000, 0.000), Te at (0.000, 0.500, 0.500), As at (0.500, 0.500, 0.500) and I at (0.500, 0.500, 0.000).

The formation energy from raw total energies comes out at 0.43 eV/atom. The density is 4.62 g/cm³. As for the total magnetization: 0.00 μB per cell. The calculation puts the calculated total energy at -2.812 eV/atom.



Entry 7:
The following is a GGA-PBE calculation of Ce6AlTc2 after structural relaxation, from Alexandria.

The structure belongs to space group C2/m (No. 12); the cell edges are 10.140, 4.972 and 8.684 Å and the angles 90.00°, 95.92° and 90.00°. The distinct sites, in fractional coordinates, are Ce at (0.051, 0.000, 0.359), Ce at (0.107, 0.500, 0.675), Ce at (0.197, 0.500, 0.110), Al at (0.000, 0.000, 0.000) and Tc at (0.229, 0.500, 0.382).

The energy of formation is -0.16 eV per atom. The density is 8.11 g/cm³. As for the total magnetization: 0.00 μB per cell. The calculation puts the calculated total energy at -6.837 eV/atom.



Entry 8:
The following is a GGA-PBE calculation of NaMg3Br after structural relaxation, from Alexandria.

The structure belongs to space group Pm-3m (No. 221); the cell edges are 5.547, 5.547 and 5.547 Å and the angles 90.00°, 90.00° and 90.00°. The distinct sites, in fractional coordinates, are Na at (0.000, 0.000, 0.000), Mg at (0.000, 0.500, 0.500) and Br at (0.500, 0.500, 0.500).

The formation energy from raw total energies comes out at 0.24 eV/atom. The density is 1.71 g/cm³. As for the total magnetization: 0.00 μB per cell. The calculation puts the calculated total energy at -1.312 eV/atom.



Entry 9:
The following is a GGA-PBE calculation of CaLaIn after structural relaxation, from Alexandria.

The structure belongs to space group Pm (No. 6); the cell edges are 5.159, 4.935 and 7.896 Å and the angles 90.00°, 108.81° and 90.00°. The distinct sites, in fractional coordinates, are Ca at (0.000, 0.000, 0.000), Ca at (0.335, 0.000, 0.669), La at (0.658, 0.000, 0.314), La at (0.813, 0.500, 0.624), In at (0.167, 0.500, 0.330) and In at (0.493, 0.500, 0.989).

The energy of formation is -0.24 eV per atom. The density is 5.13 g/cm³. As for the total magnetization: 0.00 μB per cell. The calculation puts the calculated total energy at -3.467 eV/atom.



Entry 10:
The following is a GGA-PBE calculation of Pm3RuCl after structural relaxation, from Alexandria.

The structure belongs to space group Pmmn (No. 59, origin choice 2); the cell edges are 3.802, 9.649 and 7.974 Å and the angles 90.00°, 90.00° and 90.00°. The distinct sites, in fractional coordinates, are Pm at (0.250, 0.074, 0.163), Pm at (0.250, 0.250, 0.727), Ru at (0.250, 0.750, 0.029) and Cl at (0.250, 0.750, 0.571).

The formation energy from raw total energies comes out at -0.64 eV/atom. The density is 6.49 g/cm³. As for the total magnetization: 0.00 μB per cell. The calculation puts the calculated total energy at -5.716 eV/atom.



Entry 11:
The following is a GGA-PBE calculation of Th4NiSn after structural relaxation, from Alexandria.

The structure belongs to space group C2/c (No. 15); the cell edges are 8.880, 13.269 and 6.055 Å and the angles 90.00°, 109.60° and 90.00°. The distinct sites, in fractional coordinates, are Th at (0.105, 0.171, 0.053), Th at (0.201, 0.405, 0.359), Ni at (0.000, 0.002, 0.750) and Sn at (0.000, 0.382, 0.750).

The energy of formation is -0.26 eV per atom. The density is 10.92 g/cm³. As for the total magnetization: 0.00 μB per cell. The calculation puts the calculated total energy at -6.836 eV/atom.



Entry 12:
The following is a GGA-PBE calculation of Nd2DyAlO after structural relaxation, from Alexandria.

The structure belongs to space group P4/mmm (No. 123); the cell edges are 4.957, 4.957 and 4.696 Å and the angles 90.00°, 90.00° and 90.00°. The distinct sites, in fractional coordinates, are Nd at (0.000, 0.500, 0.000), Dy at (0.000, 0.000, 0.500), Al at (0.500, 0.500, 0.500) and O at (0.000, 0.000, 0.000).

The formation energy from raw total energies comes out at -1.33 eV/atom. The density is 7.11 g/cm³. As for the total magnetization: 0.00 μB per cell. The calculation puts the calculated total energy at -5.897 eV/atom.



> calculated total energy of number 7 (Ce6AlTc2)?

-6.837 eV/atom